Entry 1:
Density functional theory data (PBE-GGA) for an optimized crystal structure of NaNd2Ga.

Geometry as extended XYZ:
```
4
Lattice="5.2714 0.0000 0.0000 0.0000 5.2714 0.0000 0.0000 0.0000 4.0220" Properties=species:S:1:pos:R:3 pbc="T T T"
Na 0.0000 0.0000 0.0000
Nd 0.0000 2.6357 2.0110
Nd 2.6357 0.0000 2.0110
Ga 2.6357 2.6357 0.0000
```

Values from the calculation:
* calculated formation energy: -0.46 eV per formula unit
* ΔE to the lowest computed polymorph: 67 meV per atom
* symmetry: No. 123

---

Entry 2:
Density functional theory data (PBE-GGA) for an optimized crystal structure of MnSiSnIrS.

Geometry as extended XYZ:
```
5
Lattice="3.0312 0.0000 0.0000 0.0000 3.2869 0.0000 -0.0031 0.0000 8.4073" Properties=species:S:1:pos:R:3 pbc="T T T"
Mn 0.0000 0.0000 0.0000
Si 0.0023 0.0000 2.6031
Sn 0.0044 0.0000 5.7152
Ir 1.5176 1.6434 3.8122
S 1.5154 1.6434 0.4074
```

Values from the calculation:
* ΔE to the lowest computed polymorph: 192 meV per atom
* symmetry: No. 6
* raw formation energy: -0.166 eV per atom

---

Entry 3:
Density functional theory data (PBE-GGA) for an optimized crystal structure of CaZr2Si.

Geometry as extended XYZ:
```
4
Lattice="5.5594 -1.6321 0.0000 5.5594 1.6321 0.0000 -3.5472 0.0000 5.2736" Properties=species:S:1:pos:R:3 pbc="T T T"
Ca 0.0000 0.0000 0.0000
Zr -0.2188 0.0000 3.2242
Zr 2.8781 0.0000 2.1189
Si 4.5653 0.0000 5.2089
```

Values from the calculation:
* symmetry: No. 8
* raw formation energy: -0.053 eV per atom

---

Repeat the second record exactly.
Density functional theory data (PBE-GGA) for an optimized crystal structure of MnSiSnIrS.

Geometry as extended XYZ:
```
5
Lattice="3.0312 0.0000 0.0000 0.0000 3.2869 0.0000 -0.0031 0.0000 8.4073" Properties=species:S:1:pos:R:3 pbc="T T T"
Mn 0.0000 0.0000 0.0000
Si 0.0023 0.0000 2.6031
Sn 0.0044 0.0000 5.7152
Ir 1.5176 1.6434 3.8122
S 1.5154 1.6434 0.4074
```

Values from the calculation:
* ΔE to the lowest computed polymorph: 192 meV per atom
* symmetry: No. 6
* raw formation energy: -0.166 eV per atom

---

What did the second record say?
Density functional theory data (PBE-GGA) for an optimized crystal structure of MnSiSnIrS.

Geometry as extended XYZ:
```
5
Lattice="3.0312 0.0000 0.0000 0.0000 3.2869 0.0000 -0.0031 0.0000 8.4073" Properties=species:S:1:pos:R:3 pbc="T T T"
Mn 0.0000 0.0000 0.0000
Si 0.0023 0.0000 2.6031
Sn 0.0044 0.0000 5.7152
Ir 1.5176 1.6434 3.8122
S 1.5154 1.6434 0.4074
```

Values from the calculation:
* ΔE to the lowest computed polymorph: 192 meV per atom
* symmetry: No. 6
* raw formation energy: -0.166 eV per atom

---

> What is the formula in the second record?

MnSiSnIrS